(1)
Material: CoSbTe2N
Method: DFT, PBE
State: relaxed

Calculated values
- crystal system = tetragonal
- ΔE_f (raw) (kcal/mol of atoms) = 7.4
- DOS(E_F) (states/eV/cell) = 4.74
- space group = No. 123
- ΔE to the lowest computed polymorph (meV/atom) = 0

Cell lengths 5.4062, 5.4062, 3.4988 Å; angles 90.00, 90.00, 90.00 degrees
With the nearest neighbours (Å) after each atom.
Fractional positions:
Te 0.5000 0.0000 0.0000  2 Co 2.70
Te 0.0000 0.5000 0.0000  2 Co 2.70
Sb 0.5000 0.5000 0.5000  8 Te 3.22, 2 Sb 3.50
Co 0.0000 0.0000 0.0000  2 N 1.75
N 0.0000 0.0000 0.5000  2 Co 1.75


(2)
Material: CoSbTe2N
Method: DFT, PBE
State: relaxed

Calculated values
- crystal system = tetragonal
- ΔE_f (raw) (kcal/mol of atoms) = 30.2
- DOS(E_F) (states/eV/cell) = 5.85
- space group = No. 123
- ΔE to the lowest computed polymorph (meV/atom) = 989

Cell lengths 5.1237, 5.1237, 4.8114 Å; angles 90.00, 90.00, 90.00 degrees
With the nearest neighbours (Å) after each atom.
Fractional positions:
Te 0.0000 0.5000 0.0000  2 Co 2.56
Te 0.5000 0.0000 0.0000  2 Co 2.56
Co 0.0000 0.0000 0.0000  2 Sb 2.41, 4 Te 2.56
Sb 0.0000 0.0000 0.5000  2 Co 2.41
N 0.5000 0.5000 0.5000  8 Te 3.51, 4 Sb 3.62


(3)
Material: ZnCo2SbN
Method: DFT, PBE
State: relaxed

Calculated values
- crystal system = tetragonal
- ΔE_f (raw) (kcal/mol of atoms) = 33.6
- DOS(E_F) (states/eV/cell) = 3.48
- space group = No. 123

Cell lengths 4.7504, 4.1091, 4.7504 Å; angles 90.00, 90.00, 90.00 degrees
With the nearest neighbours (Å) after each atom.
Fractional positions:
N 0.0000 0.5000 0.0000  2 Sb 2.05
Co 0.5000 0.0000 0.0000  2 Sb 2.38
Co 0.0000 0.0000 0.5000  2 Sb 2.38
Zn 0.5000 0.5000 0.5000  8 Co 3.14, 4 N 3.36
Sb 0.0000 0.0000 0.0000  2 N 2.05


(4)
Material: ScCo3N
Method: DFT, PBE
State: relaxed

Calculated values
- crystal system = cubic
- ΔE_f (raw) (kcal/mol of atoms) = -6.9
- DOS(E_F) (states/eV/cell) = 1.93
- space group = No. 221
- ΔE to the lowest computed polymorph (meV/atom) = 0

Cell lengths 3.8436, 3.8436, 3.8436 Å; angles 90.00, 90.00, 90.00 degrees
With the nearest neighbours (Å) after each atom.
Fractional positions:
Co 0.0000 0.0000 0.5000  2 N 1.92
Co 0.0000 0.5000 0.0000  2 N 1.92
Co 0.5000 0.0000 0.0000  2 N 1.92
Sc 0.5000 0.5000 0.5000  12 Co 2.72
N 0.0000 0.0000 0.0000  6 Co 1.92


Total magnetization for the records above, in order: 0.000; 0.446; 0.469; 0.596 μB/atom